[1]
# FePS2F

A relaxed structure of FePS2F (PBE with a Hubbard U, the Alexandria database).

abc: 4.4630 4.4630 4.6151
angles: 90.00 90.00 90.00
Closest atoms and distances in Å follow each position.
Element x y z (fractional)
P 0.0000 0.0000 0.5000  2 Fe 2.31
S 0.0000 0.5000 0.0000  2 Fe 2.23
S 0.5000 0.0000 0.0000  2 Fe 2.23
Fe 0.0000 0.0000 0.0000  4 S 2.23, 2 P 2.31
F 0.5000 0.5000 0.5000  4 P 3.16, 8 S 3.21

Energy above the most stable polymorph in this dataset in meV/atom: 0.0

---

[2]
# FeSi2PF

A relaxed structure of FeSi2PF (PBE with a Hubbard U, the Alexandria database).

abc: 4.6472 4.0082 4.6472
angles: 90.00 90.00 90.00
Closest atoms and distances in Å follow each position.
Element x y z (fractional)
P 0.5000 0.5000 0.5000  8 Si 3.07, 4 Fe 3.29
Si 0.0000 0.0000 0.5000  2 F 2.32
Si 0.5000 0.0000 0.0000  2 F 2.32
Fe 0.0000 0.5000 0.0000  2 F 2.00
F 0.0000 0.0000 0.0000  2 Fe 2.00

Total energy in eV per atom: -4.229